a.
Computed, not measured: a geometry-optimized CrSb2IBr structure at the GGA-PBE level of DFT.

## Properties
DOS at the Fermi energy: 5.77 states/eV/cell
space group: P4/mmm (123)

a b c (Å): 5.547 5.547 5.569
angles (deg): 90.00 90.00 90.00
Sites, in units of the cell vectors:
Cr1 0.000 0.000 0.000
Sb1 0.000 0.500 0.500
Sb2 0.500 0.000 0.500
I1 0.500 0.500 0.000
Br1 0.500 0.500 0.500



b.
Computed, not measured: a geometry-optimized CrSb2IBr structure at the GGA-PBE level of DFT.

## Properties
DOS at the Fermi energy: 4.15 states/eV/cell
space group: P4/mmm (123)

a b c (Å): 5.174 5.174 5.346
angles (deg): 90.00 90.00 90.00
Sites, in units of the cell vectors:
Cr1 0.000 0.000 0.000
Sb1 0.000 0.500 0.000
Sb2 0.500 0.000 0.000
I1 0.000 0.000 0.500
Br1 0.500 0.500 0.500



Of them, the most stable is b and the least stable is a.



a.
Computed, not measured: a geometry-optimized CrSbI2Br structure at the GGA-PBE level of DFT.

## Properties
DOS at the Fermi energy: 3.41 states/eV/cell
space group: P4/mmm (123)

a b c (Å): 5.807 5.807 5.865
angles (deg): 90.00 90.00 90.00
Sites, in units of the cell vectors:
Cr1 0.000 0.000 0.000
Sb1 0.500 0.500 0.000
I1 0.000 0.500 0.500
I2 0.500 0.000 0.500
Br1 0.500 0.500 0.500



b.
Computed, not measured: a geometry-optimized CrSbI2Br structure at the GGA-PBE level of DFT.

## Properties
DOS at the Fermi energy: 8.64 states/eV/cell
space group: P4/mmm (123)

a b c (Å): 5.243 5.243 5.254
angles (deg): 90.00 90.00 90.00
Sites, in units of the cell vectors:
Cr1 0.000 0.000 0.000
Sb1 0.000 0.000 0.500
I1 0.000 0.500 0.000
I2 0.500 0.000 0.000
Br1 0.500 0.500 0.500



Of them, the most stable is b and the least stable is a.



a.
Computed, not measured: a geometry-optimized CrTe2IBr structure at the GGA-PBE level of DFT.

## Properties
DOS at the Fermi energy: 7.84 states/eV/cell
space group: P4/mmm (123)

a b c (Å): 5.656 5.656 5.775
angles (deg): 90.00 90.00 90.00
Sites, in units of the cell vectors:
Cr1 0.000 0.000 0.000
Te1 0.000 0.500 0.500
Te2 0.500 0.000 0.500
I1 0.500 0.500 0.000
Br1 0.500 0.500 0.500



b.
Computed, not measured: a geometry-optimized CrTe2IBr structure at the GGA-PBE level of DFT.

## Properties
DOS at the Fermi energy: 7.03 states/eV/cell
space group: P4/mmm (123)

a b c (Å): 5.085 5.085 5.453
angles (deg): 90.00 90.00 90.00
Sites, in units of the cell vectors:
Cr1 0.000 0.000 0.000
Te1 0.000 0.500 0.000
Te2 0.500 0.000 0.000
I1 0.000 0.000 0.500
Br1 0.500 0.500 0.500



Of them, the most stable is b and the least stable is a.



a.
Computed, not measured: a geometry-optimized CrTeI2Br structure at the GGA-PBE level of DFT.

## Properties
DOS at the Fermi energy: 7.14 states/eV/cell
space group: P4/mmm (123)

a b c (Å): 5.465 5.465 5.297
angles (deg): 90.00 90.00 90.00
Sites, in units of the cell vectors:
Cr1 0.000 0.000 0.000
Te1 0.000 0.000 0.500
I1 0.000 0.500 0.000
I2 0.500 0.000 0.000
Br1 0.500 0.500 0.500



b.
Computed, not measured: a geometry-optimized CrTeI2Br structure at the GGA-PBE level of DFT.

## Properties
DOS at the Fermi energy: 6.09 states/eV/cell
space group: P4/mmm (123)

a b c (Å): 5.815 5.815 5.777
angles (deg): 90.00 90.00 90.00
Sites, in units of the cell vectors:
Cr1 0.000 0.000 0.000
Te1 0.500 0.500 0.000
I1 0.000 0.500 0.500
I2 0.500 0.000 0.500
Br1 0.500 0.500 0.500



Of them, the most stable is a and the least stable is b.



a.
Computed, not measured: a geometry-optimized CrIn2Br structure at the GGA-PBE level of DFT.

## Properties
DOS at the Fermi energy: 2.06 states/eV/cell
space group: Pmmm (47)

a b c (Å): 3.407 5.100 5.747
angles (deg): 90.00 90.00 90.00
Sites, in units of the cell vectors:
Cr1 0.000 0.000 0.000
In1 0.000 0.500 0.500
In2 0.500 0.000 0.500
Br1 0.500 0.500 0.000



b.
Computed, not measured: a geometry-optimized CrIn2Br structure at the GGA-PBE level of DFT.

## Properties
DOS at the Fermi energy: 3.01 states/eV/cell
space group: P4mm (99)

a b c (Å): 3.342 3.342 9.087
angles (deg): 90.00 90.00 90.00
Sites, in units of the cell vectors:
Cr1 0.000 0.000 0.000
In1 0.000 0.000 0.481
In2 0.500 0.500 0.210
Br1 0.500 0.500 0.829



Of them, the most stable is b and the least stable is a.



a.
Computed, not measured: a geometry-optimized CrInBr2 structure at the GGA-PBE level of DFT.

## Properties
DOS at the Fermi energy: 0.13 states/eV/cell
space group: I-42d (122)

a b c (Å): 6.775 6.775 6.775
angles (deg): 107.25 107.25 114.02
Sites, in units of the cell vectors:
Cr1 0.000 0.000 0.000
Cr2 0.750 0.250 0.500
In1 0.250 0.750 0.500
In2 0.500 0.500 0.000
Br1 0.053 0.625 0.928
Br2 0.375 0.303 0.428
Br3 0.697 0.125 0.072
Br4 0.875 0.947 0.572



b.
Computed, not measured: a geometry-optimized CrInBr2 structure at the GGA-PBE level of DFT.

## Properties
DOS at the Fermi energy: 2.37 states/eV/cell
space group: P2/m (10)

a b c (Å): 3.747 3.543 9.433
angles (deg): 90.00 90.08 90.00
Sites, in units of the cell vectors:
Cr1 0.000 0.000 0.000
In1 0.000 0.000 0.500
Br1 0.210 0.500 0.824
Br2 0.790 0.500 0.176



c.
Computed, not measured: a geometry-optimized CrInBr2 structure at the GGA-PBE level of DFT.

## Properties
DOS at the Fermi energy: 2.49 states/eV/cell
space group: Cm (8)

a b c (Å): 6.013 6.013 6.884
angles (deg): 115.07 115.07 34.71
Sites, in units of the cell vectors:
Cr1 0.000 0.000 0.000
In1 0.736 0.736 0.998
Br1 0.418 0.418 0.706
Br2 0.575 0.575 0.294



d.
Computed, not measured: a geometry-optimized CrInBr2 structure at the GGA-PBE level of DFT.

## Properties
DOS at the Fermi energy: 3.20 states/eV/cell
space group: P4/mmm (123)

a b c (Å): 3.586 3.586 8.081
angles (deg): 90.00 90.00 90.00
Sites, in units of the cell vectors:
Cr1 0.000 0.000 0.000
In1 0.000 0.000 0.500
Br1 0.500 0.500 0.209
Br2 0.500 0.500 0.791



Of them, the most stable is c and the least stable is d.



a.
Computed, not measured: a geometry-optimized CrInBr2 structure at the GGA-PBE level of DFT.

## Properties
DOS at the Fermi energy: 3.57 states/eV/cell
space group: Cmm2 (35)

a b c (Å): 3.759 3.759 9.478
angles (deg): 90.00 90.00 118.56
Sites, in units of the cell vectors:
Cr1 0.000 0.000 0.000
In1 0.500 0.500 0.776
Br1 0.000 0.000 0.564
Br2 0.500 0.500 0.175



b.
Computed, not measured: a geometry-optimized CrInBr2 structure at the GGA-PBE level of DFT.

## Properties
DOS at the Fermi energy: 0.26 states/eV/cell
space group: F-43m (216)

a b c (Å): 5.310 5.310 5.310
angles (deg): 60.00 60.00 60.00
Sites, in units of the cell vectors:
Cr1 0.000 0.000 0.000
In1 0.250 0.250 0.250
Br1 0.500 0.500 0.500
Br2 0.750 0.750 0.750



Of them, the most stable is a and the least stable is b.



a.
Computed, not measured: a geometry-optimized CrInBr2 structure at the GGA-PBE level of DFT.

## Properties
DOS at the Fermi energy: 0.00 states/eV/cell
space group: Fm-3m (225)

a b c (Å): 5.328 5.328 5.328
angles (deg): 60.00 60.00 60.00
Sites, in units of the cell vectors:
Cr1 0.000 0.000 0.000
In1 0.500 0.500 0.500
Br1 0.250 0.250 0.250
Br2 0.750 0.750 0.750



b.
Computed, not measured: a geometry-optimized CrInBr2 structure at the GGA-PBE level of DFT.

## Properties
DOS at the Fermi energy: 2.05 states/eV/cell
space group: Cmmm (65)

a b c (Å): 3.847 3.847 9.775
angles (deg): 90.00 90.00 123.68
Sites, in units of the cell vectors:
Cr1 0.000 0.000 0.000
In1 0.000 0.000 0.500
Br1 0.500 0.500 0.183
Br2 0.500 0.500 0.817



Of them, the most stable is b and the least stable is a.



a.
Computed, not measured: a geometry-optimized CrInBr2 structure at the GGA-PBE level of DFT.

## Properties
DOS at the Fermi energy: 1.01 states/eV/cell
space group: I-4m2 (119)

a b c (Å): 7.128 7.128 7.128
angles (deg): 145.16 145.16 50.09
Sites, in units of the cell vectors:
Cr1 0.000 0.000 0.000
In1 0.250 0.750 0.500
Br1 0.500 0.500 0.000
Br2 0.750 0.250 0.500



b.
Computed, not measured: a geometry-optimized CrInBr2 structure at the GGA-PBE level of DFT.

## Properties
DOS at the Fermi energy: 1.10 states/eV/cell
space group: P4mm (99)

a b c (Å): 3.826 3.826 8.506
angles (deg): 90.00 90.00 90.00
Sites, in units of the cell vectors:
Cr1 0.000 0.000 0.000
In1 0.500 0.500 0.525
Br1 0.000 0.000 0.309
Br2 0.500 0.500 0.945



Of them, the most stable is b and the least stable is a.



a.
Computed, not measured: a geometry-optimized CrInBr2 structure at the GGA-PBE level of DFT.

## Properties
DOS at the Fermi energy: 1.65 states/eV/cell
space group: P4/mmm (123)

a b c (Å): 5.347 5.347 3.761
angles (deg): 90.00 90.00 90.00
Sites, in units of the cell vectors:
Cr1 0.000 0.000 0.000
In1 0.500 0.500 0.000
Br1 0.000 0.500 0.500
Br2 0.500 0.000 0.500



b.
Computed, not measured: a geometry-optimized CrInBr2 structure at the GGA-PBE level of DFT.

## Properties
DOS at the Fermi energy: 2.48 states/eV/cell
space group: C2/m (12)

a b c (Å): 3.878 3.878 9.466
angles (deg): 94.38 94.38 55.88
Sites, in units of the cell vectors:
Cr1 0.000 0.000 0.000
In1 0.500 0.500 0.500
Br1 0.345 0.345 0.831
Br2 0.655 0.655 0.169



c.
Computed, not measured: a geometry-optimized CrInBr2 structure at the GGA-PBE level of DFT.

## Properties
DOS at the Fermi energy: 2.02 states/eV/cell
space group: P4mm (99)

a b c (Å): 3.643 3.643 8.667
angles (deg): 90.00 90.00 90.00
Sites, in units of the cell vectors:
Cr1 0.000 0.000 0.000
In1 0.500 0.500 0.285
Br1 0.000 0.000 0.480
Br2 0.500 0.500 0.876



Of them, the most stable is b and the least stable is a.



a.
Computed, not measured: a geometry-optimized CrInBr structure at the GGA-PBE level of DFT.

## Properties
DOS at the Fermi energy: 1.07 states/eV/cell
space group: P-6m2 (187)

a b c (Å): 4.677 4.677 3.852
angles (deg): 90.00 90.00 120.00
Sites, in units of the cell vectors:
Cr1 0.000 0.000 0.000
In1 0.667 0.333 0.500
Br1 0.333 0.667 0.000



b.
Computed, not measured: a geometry-optimized CrInBr structure at the GGA-PBE level of DFT.

## Properties
DOS at the Fermi energy: 1.41 states/eV/cell
space group: I4mm (107)

a b c (Å): 6.626 6.626 6.626
angles (deg): 149.66 149.66 43.44
Sites, in units of the cell vectors:
Cr1 0.000 0.000 0.000
In1 0.358 0.358 0.000
Br1 0.621 0.621 0.000



c.
Computed, not measured: a geometry-optimized CrInBr structure at the GGA-PBE level of DFT.

## Properties
DOS at the Fermi energy: 1.40 states/eV/cell
space group: P3m1 (156)

a b c (Å): 3.723 3.723 6.338
angles (deg): 90.00 90.00 120.00
Sites, in units of the cell vectors:
Cr1 0.000 0.000 0.000
In1 0.333 0.667 0.300
Br1 0.667 0.333 0.746



d.
Computed, not measured: a geometry-optimized CrInBr structure at the GGA-PBE level of DFT.

## Properties
DOS at the Fermi energy: 2.22 states/eV/cell
space group: F-43m (216)

a b c (Å): 4.924 4.924 4.924
angles (deg): 60.00 60.00 60.00
Sites, in units of the cell vectors:
Cr1 0.000 0.000 0.000
In1 0.250 0.250 0.250
Br1 0.750 0.750 0.750



Of them, the most stable is c and the least stable is d.



a.
Computed, not measured: a geometry-optimized CrIn3Br structure at the GGA-PBE level of DFT.

## Properties
DOS at the Fermi energy: 2.81 states/eV/cell
space group: Pm-3m (221)

a b c (Å): 5.348 5.348 5.348
angles (deg): 90.00 90.00 90.00
Sites, in units of the cell vectors:
Cr1 0.000 0.000 0.000
In1 0.000 0.000 0.500
In2 0.000 0.500 0.000
In3 0.500 0.000 0.000
Br1 0.500 0.500 0.500



b.
Computed, not measured: a geometry-optimized CrIn3Br structure at the GGA-PBE level of DFT.

## Properties
DOS at the Fermi energy: 2.27 states/eV/cell
space group: Pm-3m (221)

a b c (Å): 5.849 5.849 5.849
angles (deg): 90.00 90.00 90.00
Sites, in units of the cell vectors:
Cr1 0.000 0.000 0.000
In1 0.000 0.500 0.500
In2 0.500 0.000 0.500
In3 0.500 0.500 0.000
Br1 0.500 0.500 0.500



Of them, the most stable is a and the least stable is b.